DFT (PBE) results for crystalline AlCoPtW at its relaxed geometry.

Space group   F-43m
Calculated total energy   -7.5128 eV/atom
Polymorph energy (0 for the lowest one)   65 meV per atom

abc: 4.3025 4.3025 4.3025
angles: 60.00 60.00 60.00
Last column: nearest neighbours and their distance in Å.
Fractional positions:
Al 0.0000 0.0000 0.0000  4 W 2.63, 4 Co 2.63
Co 0.2500 0.2500 0.2500  4 Pt 2.63, 4 Al 2.63
Pt 0.5000 0.5000 0.5000  4 W 2.63, 4 Co 2.63
W 0.7500 0.7500 0.7500  4 Pt 2.63, 4 Al 2.63